DFT (PBEsol) results for crystalline CsIrCl2 at its relaxed geometry.

Calculated values
* energy relative to the elements, uncorrected: 0.42 eV/atom
* symmetry: No. 225

a b c (Å): 5.126 5.126 5.126
angles (deg): 60.00 60.00 60.00
Fractional coordinates of all 4 atoms:
1 Cs 0.000 0.000 0.000
2 Ir 0.500 0.500 0.500
3 Cl 0.250 0.250 0.250
4 Cl 0.750 0.750 0.750

=====

DFT (PBEsol) results for crystalline LaCN2F at its relaxed geometry.

Calculated values
* energy relative to the elements, uncorrected: -1.76 eV/atom
* symmetry: No. 63

a b c (Å): 4.746 4.746 7.753
angles (deg): 90.00 90.00 132.40
Fractional coordinates of all 10 atoms:
1 La 0.224 0.776 0.750
2 La 0.776 0.224 0.250
3 C 0.500 0.500 0.000
4 C 0.500 0.500 0.500
5 N 0.367 0.633 0.053
6 N 0.367 0.633 0.447
7 N 0.633 0.367 0.553
8 N 0.633 0.367 0.947
9 F 0.081 0.919 0.250
10 F 0.919 0.081 0.750

=====

DFT (PBEsol) results for crystalline CaMn2Te at its relaxed geometry.

Calculated values
* energy relative to the elements, uncorrected: 0.28 eV/atom
* symmetry: No. 139

a b c (Å): 5.544 5.544 5.544
angles (deg): 135.95 135.95 64.05
Fractional coordinates of all 4 atoms:
1 Ca 0.000 0.000 0.000
2 Mn 0.250 0.750 0.500
3 Mn 0.750 0.250 0.500
4 Te 0.500 0.500 0.000

=====

DFT (PBEsol) results for crystalline Be2NbRh2 at its relaxed geometry.

Calculated values
* E_form: -231.4 kJ/mol of formula units
* symmetry: No. 127

a b c (Å): 6.606 6.606 2.753
angles (deg): 90.00 90.00 90.00
Fractional coordinates of all 10 atoms:
1 Be 0.118 0.382 0.000
2 Be 0.382 0.882 0.000
3 Be 0.618 0.118 0.000
4 Be 0.882 0.618 0.000
5 Nb 0.000 0.000 0.000
6 Nb 0.500 0.500 0.000
7 Rh 0.173 0.673 0.500
8 Rh 0.327 0.173 0.500
9 Rh 0.673 0.827 0.500
10 Rh 0.827 0.327 0.500

=====

DFT (PBEsol) results for crystalline Na4Ge2Te5 at its relaxed geometry.

Calculated values
* energy relative to the elements, uncorrected: -0.55 eV/atom
* symmetry: No. 2

a b c (Å): 7.790 9.560 10.689
angles (deg): 67.88 70.70 67.28
Fractional coordinates of all 22 atoms:
1 Na 0.038 0.268 0.479
2 Na 0.184 0.046 0.083
3 Na 0.223 0.564 0.072
4 Na 0.369 0.369 0.687
5 Na 0.631 0.631 0.313
6 Na 0.777 0.436 0.928
7 Na 0.816 0.954 0.917
8 Na 0.962 0.732 0.521
9 Ge 0.396 0.760 0.646
10 Ge 0.418 0.939 0.753
11 Ge 0.582 0.061 0.247
12 Ge 0.604 0.240 0.354
13 Te 0.095 0.674 0.788
14 Te 0.099 0.160 0.778
15 Te 0.297 0.944 0.408
16 Te 0.306 0.481 0.367
17 Te 0.483 0.237 0.018
18 Te 0.517 0.763 0.982
19 Te 0.694 0.519 0.633
20 Te 0.703 0.056 0.592
21 Te 0.901 0.840 0.222
22 Te 0.905 0.326 0.212

=====

DFT (PBEsol) results for crystalline TaPRu2 at its relaxed geometry.

Calculated values
* E_form: -176.3 kJ/mol of formula units
* symmetry: No. 71

a b c (Å): 5.070 5.070 5.070
angles (deg): 147.12 128.57 62.40
Fractional coordinates of all 4 atoms:
1 Ta 0.000 0.000 0.000
2 P 0.500 0.500 0.000
3 Ru 0.286 0.786 0.500
4 Ru 0.714 0.214 0.500

=====

DFT (PBEsol) results for crystalline ZnCu at its relaxed geometry.

Calculated values
* E_form: -16.0 kJ/mol of formula units
* symmetry: No. 8

a b c (Å): 4.878 4.878 6.243
angles (deg): 105.58 105.58 31.23
Fractional coordinates of all 6 atoms:
1 Zn 0.000 0.000 0.000
2 Zn 0.055 0.055 0.609
3 Zn 0.375 0.375 0.274
4 Cu 0.332 0.332 0.668
5 Cu 0.661 0.661 0.335
6 Cu 0.720 0.720 0.939

=====

DFT (PBEsol) results for crystalline TlInNi2 at its relaxed geometry.

Calculated values
* E_form: 65.9 kJ/mol of formula units
* symmetry: No. 99

a b c (Å): 3.112 3.112 6.874
angles (deg): 90.00 90.00 90.00
Fractional coordinates of all 4 atoms:
1 Tl 0.000 0.000 0.000
2 In 0.500 0.500 0.378
3 Ni 0.000 0.000 0.589
4 Ni 0.500 0.500 0.766

=====

DFT (PBEsol) results for crystalline MgCrCoS4 at its relaxed geometry.

Calculated values
* energy relative to the elements, uncorrected: -0.76 eV/atom
* symmetry: No. 74

a b c (Å): 6.980 6.980 6.980
angles (deg): 120.08 120.00 89.93
Fractional coordinates of all 14 atoms:
1 Mg 0.375 0.125 0.250
2 Mg 0.625 0.875 0.750
3 Cr 0.000 0.500 0.500
4 Cr 0.500 0.500 0.000
5 Co 0.000 0.000 0.500
6 Co 0.000 0.500 0.000
7 S 0.198 0.739 0.459
8 S 0.220 0.261 0.959
9 S 0.228 0.252 0.524
10 S 0.228 0.705 0.976
11 S 0.772 0.295 0.024
12 S 0.772 0.748 0.476
13 S 0.780 0.739 0.041
14 S 0.802 0.261 0.541

=====

DFT (PBEsol) results for crystalline VFeCoSi at its relaxed geometry.

Calculated values
* energy relative to the elements, uncorrected: -0.53 eV/atom
* symmetry: No. 216

a b c (Å): 3.945 3.945 3.945
angles (deg): 60.00 60.00 60.00
Fractional coordinates of all 4 atoms:
1 V 0.000 0.000 0.000
2 Fe 0.750 0.750 0.750
3 Co 0.250 0.250 0.250
4 Si 0.500 0.500 0.500

=====

DFT (PBEsol) results for crystalline TlRu2Se at its relaxed geometry.

Calculated values
* energy relative to the elements, uncorrected: 0.64 eV/atom
* symmetry: No. 65

a b c (Å): 3.078 3.078 8.378
angles (deg): 90.00 90.00 120.81
Fractional coordinates of all 4 atoms:
1 Tl 0.000 0.000 0.000
2 Ru 0.500 0.500 0.278
3 Ru 0.500 0.500 0.722
4 Se 0.000 0.000 0.500

=====

DFT (PBEsol) results for crystalline CaCCl2 at its relaxed geometry.

Calculated values
* energy relative to the elements, uncorrected: 0.88 eV/atom
* symmetry: No. 166

a b c (Å): 7.820 7.820 7.820
angles (deg): 28.64 28.64 28.64
Fractional coordinates of all 4 atoms:
1 Ca 0.000 0.000 0.000
2 C 0.500 0.500 0.500
3 Cl 0.115 0.115 0.115
4 Cl 0.885 0.885 0.885

=====

DFT (PBEsol) results for crystalline CaSn3 at its relaxed geometry.

Calculated values
* E_form: -172.5 kJ/mol of formula units
* symmetry: No. 221

a b c (Å): 4.677 4.677 4.677
angles (deg): 90.00 90.00 90.00
Fractional coordinates of all 4 atoms:
1 Ca 0.000 0.000 0.000
2 Sn 0.000 0.500 0.500
3 Sn 0.500 0.000 0.500
4 Sn 0.500 0.500 0.000

=====

DFT (PBEsol) results for crystalline NaLa2GeSb at its relaxed geometry.

Calculated values
* energy relative to the elements, uncorrected: -0.41 eV/atom
* symmetry: No. 123

a b c (Å): 5.670 5.670 5.079
angles (deg): 90.00 90.00 90.00
Fractional coordinates of all 5 atoms:
1 Na 0.000 0.000 0.000
2 La 0.000 0.500 0.500
3 La 0.500 0.000 0.500
4 Ge 0.000 0.000 0.500
5 Sb 0.500 0.500 0.000

=====

DFT (PBEsol) results for crystalline TaW4 at its relaxed geometry.

Calculated values
* E_form: 522.7 kJ/mol of formula units
* symmetry: No. 139

a b c (Å): 6.277 6.277 6.277
angles (deg): 142.20 142.20 54.52
Fractional coordinates of all 5 atoms:
1 Ta 0.000 0.000 0.000
2 W 0.250 0.750 0.500
3 W 0.388 0.388 0.000
4 W 0.612 0.612 0.000
5 W 0.750 0.250 0.500

=====

DFT (PBEsol) results for crystalline ScGe3S at its relaxed geometry.

Calculated values
* energy relative to the elements, uncorrected: 0.30 eV/atom
* symmetry: No. 221

a b c (Å): 4.753 4.753 4.753
angles (deg): 90.00 90.00 90.00
Fractional coordinates of all 5 atoms:
1 Sc 0.000 0.000 0.000
2 Ge 0.000 0.500 0.500
3 Ge 0.500 0.000 0.500
4 Ge 0.500 0.500 0.000
5 S 0.500 0.500 0.500

=====

DFT (PBEsol) results for crystalline AlTeMo4 at its relaxed geometry.

Calculated values
* energy relative to the elements, uncorrected: 0.44 eV/atom
* symmetry: No. 216

a b c (Å): 5.256 5.256 5.256
angles (deg): 60.00 60.00 60.00
Fractional coordinates of all 6 atoms:
1 Al 0.000 0.000 0.000
2 Te 0.750 0.750 0.750
3 Mo 0.375 0.375 0.375
4 Mo 0.375 0.375 0.876
5 Mo 0.375 0.876 0.375
6 Mo 0.876 0.375 0.375

=====

DFT (PBEsol) results for crystalline TlCuP3 at its relaxed geometry.

Calculated values
* E_form: 892.3 kJ/mol of formula units
* symmetry: No. 221

a b c (Å): 5.018 5.018 5.018
angles (deg): 90.00 90.00 90.00
Fractional coordinates of all 5 atoms:
1 Tl 0.000 0.000 0.000
2 Cu 0.500 0.500 0.500
3 P 0.000 0.000 0.500
4 P 0.000 0.500 0.000
5 P 0.500 0.000 0.000

=====

DFT (PBEsol) results for crystalline LaOsBr2 at its relaxed geometry.

Calculated values
* energy relative to the elements, uncorrected: -0.02 eV/atom
* symmetry: No. 69

a b c (Å): 5.673 5.602 4.537
angles (deg): 67.10 65.45 47.45
Fractional coordinates of all 4 atoms:
1 La 0.000 0.000 0.000
2 Os 0.500 0.500 0.500
3 Br 0.000 0.500 0.500
4 Br 0.500 0.000 0.000

=====

DFT (PBEsol) results for crystalline Ta2Ni at its relaxed geometry.

Calculated values
* E_form: -72.6 kJ/mol of formula units
* symmetry: No. 140

a b c (Å): 4.976 4.976 4.976
angles (deg): 103.48 103.48 122.27
Fractional coordinates of all 6 atoms:
1 Ta 0.159 0.659 0.817
2 Ta 0.341 0.159 0.500
3 Ta 0.659 0.841 0.500
4 Ta 0.841 0.341 0.183
5 Ni 0.250 0.250 0.000
6 Ni 0.750 0.750 0.000

=====

The total moment results, record by record, are as follows: 2.1 0.0 7.4 0.0 0.0 0.0 0.0 0.0 3.0 1.9 0.0 0.9 0.0 0.0 0.0 0.0 0.0 0.0 0.4 0.0 μB per formula unit.